The following is a PBE calculation of a relaxed structure of Tb2YCu4Sn2Ge2, from OQMD via LeMat-Bulk.

Structure (POSCAR):
```
Tb2YCu4Sn2Ge2
1.0
-2.153 3.458 7.181
2.153 -3.458 7.181
2.153 3.458 -7.181
Cu Sn Ge Y Tb
4 2 2 1 2
Cartesian
2.153 1.296 -2.532
0.000 2.162 9.713
0.000 2.162 4.649
2.153 1.296 2.532
0.000 1.397 7.181
2.153 2.061 0.000
0.000 0.000 11.256
0.000 0.000 3.106
0.000 0.000 0.000
2.153 0.000 5.232
0.000 3.458 1.949
```

***

The following is a PBE calculation of a relaxed structure of Dy3Lu3CoTe2, from OQMD via LeMat-Bulk.

Structure (POSCAR):
```
Dy3Lu3CoTe2
1.0
8.299 0.000 0.000
-4.150 7.187 0.000
0.000 0.000 3.864
Te Lu Dy Co
2 3 3 1
Cartesian
4.150 2.396 0.000
0.000 4.792 0.000
-2.511 4.349 1.932
5.021 0.000 1.932
1.639 2.839 1.932
3.160 5.473 0.000
1.980 0.000 0.000
-0.990 1.715 0.000
0.000 0.000 1.932
```

***

The following is a PBE calculation of a relaxed structure of Ba2SnHg, from OQMD via LeMat-Bulk.

Structure (POSCAR):
```
Ba2SnHg
1.0
-7.657 -3.403 0.027
0.164 -0.322 5.993
-4.865 10.954 0.722
Sn Ba Hg
4 8 4
Cartesian
-8.720 4.189 1.968
-6.307 -1.296 1.607
-3.638 3.040 4.774
-6.052 8.525 5.135
-4.319 -0.563 4.599
-5.598 2.297 1.780
-6.760 4.932 4.961
-8.154 -2.246 4.613
-1.779 4.016 1.768
-8.039 7.792 2.143
-2.923 6.616 4.947
-4.204 9.475 2.128
-7.444 1.357 4.788
-9.909 6.820 5.149
-2.449 0.409 1.593
-4.914 5.872 1.954
```

***

The following is a PBE calculation of a relaxed structure of BeSbOs, from OQMD via LeMat-Bulk.

Structure (POSCAR):
```
BeSbOs
1.0
-3.758 -0.151 1.503
-2.967 -1.741 -2.137
-1.557 -3.538 1.208
Be Os Sb
1 1 1
Cartesian
0.000 0.000 0.000
-2.071 -1.358 0.143
-6.212 -4.073 0.430
```

***

The following is a PBE calculation of a relaxed structure of Ni2AgB, from OQMD via LeMat-Bulk.

Structure (POSCAR):
```
Ni2AgB
1.0
-0.212 -3.925 0.772
-2.535 -1.359 2.788
-3.244 -2.083 -1.088
Ni B Ag
2 1 1
Cartesian
0.000 0.000 0.000
-4.494 -5.525 1.854
-2.996 -3.683 1.236
-1.498 -1.842 0.618
```

***

The following is a PBE calculation of a relaxed structure of NpBeRe, from OQMD via LeMat-Bulk.

Structure (POSCAR):
```
NpBeRe
1.0
1.364 0.692 3.803
-2.638 1.002 2.973
-0.827 -2.676 2.993
Np Re Be
1 1 1
Cartesian
-0.525 -0.245 2.442
-1.576 -0.736 7.328
0.000 0.000 0.000
```

***

The following is a PBE calculation of a relaxed structure of Li2Ag2O5, from OQMD via LeMat-Bulk.

Structure (POSCAR):
```
Li2Ag2O5
1.0
-2.842 4.576 3.599
-2.600 0.800 -3.070
-2.613 -2.791 1.485
O Ag Li
5 2 2
Cartesian
-3.820 2.652 3.926
-3.814 4.447 1.648
-1.628 0.929 -1.119
-1.635 -0.867 1.159
-4.027 1.293 1.007
0.000 0.000 0.000
-1.421 2.288 1.800
-3.236 0.018 0.005
-4.819 2.567 2.009
```

***

The following is a PBE calculation of a relaxed structure of Ba2Nb, from OQMD via LeMat-Bulk.

Structure (POSCAR):
```
Ba2Nb
1.0
5.603 0.093 4.352
0.004 4.242 5.688
-0.513 -2.788 6.505
Ba Nb
4 2
Cartesian
0.382 0.921 8.165
3.184 0.967 10.341
3.441 2.361 7.088
3.182 -1.154 7.497
0.000 0.000 0.000
1.274 0.387 4.136
```

***

| no. | total energy (eV per cell) |
| --- | --- |
| 1 | -53.73 |
| 2 | -46.28 |
| 3 | -42.75 |
| 4 | -17.71 |
| 5 | -18.27 |
| 6 | -27.33 |
| 7 | -36.55 |
| 8 | -18.67 |